{"formula": "FeCuGeSe3", "functional": "PBE-GGA", "state": "relaxed", "total_energy_ev_per_cell": -54.68, "spacegroup": "Cmcm (63)", "m_tot_mub_per_fu": 3.59, "lattice": [[1.824, -6.575, 0.000], [1.824, 6.575, 0.000], [0.000, 0.000, 9.506]], "species": ["Cu", "Cu", "Fe", "Fe", "Ge", "Ge", "Se", "Se", "Se", "Se", "Se", "Se"], "frac_coords": [[0.527, 0.473, 0.250], [0.473, 0.527, 0.750], [0.000, 0.000, 0.000], [0.000, 0.000, 0.500], [0.224, 0.776, 0.250], [0.776, 0.224, 0.750], [0.639, 0.361, 0.051], [0.907, 0.093, 0.250], [0.639, 0.361, 0.449], [0.361, 0.639, 0.551], [0.093, 0.907, 0.750], [0.361, 0.639, 0.949]]}

---

{"formula": "FeNiAsW", "functional": "PBE-GGA", "state": "relaxed", "total_energy_ev_per_cell": -30.13, "spacegroup": "F-43m (216)", "m_tot_mub_per_fu": 0.61, "lattice": [[3.755, -1.417, 1.215], [0.351, -2.263, 3.513], [0.868, -4.096, -0.223]], "species": ["As", "Fe", "Ni", "W"], "frac_coords": [[0.000, 0.000, 0.000], [0.750, 0.750, 0.750], [0.250, 0.250, 0.250], [0.500, 0.500, 0.500]]}

---

{"formula": "PrTl2", "functional": "PBE-GGA", "state": "relaxed", "total_energy_ev_per_cell": -20.08, "spacegroup": "Fd-3m (227)", "m_tot_mub_per_fu": 0.00, "lattice": [[-3.906, -2.755, 3.981], [-4.395, -3.857, -2.121], [0.447, -6.112, 1.068]], "species": ["Pr", "Pr", "Tl", "Tl", "Tl", "Tl"], "frac_coords": [[0.000, 0.000, 0.000], [0.250, 0.250, 0.250], [0.625, 0.625, 0.125], [0.625, 0.125, 0.625], [0.125, 0.625, 0.625], [0.625, 0.625, 0.625]]}